Material: Pr2TmBr
Method: DFT, PBE
State: relaxed Values from VASP.

Geometry as Quantum ESPRESSO input:
```
&SYSTEM
  ibrav = 0, nat = 4, ntyp = 3
/
ATOMIC_SPECIES
Br 79.90 Br.upf
Tm 168.93 Tm.upf
Pr 140.91 Pr.upf
CELL_PARAMETERS angstrom
3.6069 0.0000 0.0000
0.0000 3.6069 0.0000
0.0000 0.0000 9.6991
ATOMIC_POSITIONS crystal
Br 0.5000 0.5000 0.0000
Tm 0.5000 0.5000 0.5000
Pr 0.0000 0.0000 0.7648
Pr 0.0000 0.0000 0.2352
```

Results
DFT total energy   -17.60 eV/cell
E_form (uncorrected)   -0.473 eV/atom
Distance to the lowest polymorph of the same formula   67 meV/atom